# 1
DFT (GGA-PBE) results for crystalline Cs2As2Pd at its relaxed geometry.

Cell lengths 10.640, 10.640, 3.282 Å; angles 90.00, 90.00, 90.00 degrees
Space group P4/mbm (No. 127)
Unique sites:
Cs 0.137 0.363 0.000
As 0.163 0.663 0.500
Pd 0.000 0.000 0.000

Output
Calculated volume ... 37.2 Å³/atom
E_form ... 0.727 eV per atom
Energy above the most stable polymorph in this dataset ... 1256 meV/atom

# 2
DFT (GGA-PBE) results for crystalline HoPa2CoN5 at its relaxed geometry.

Cell lengths 3.351, 13.359, 10.147 Å; angles 90.00, 90.00, 90.00 degrees
Space group Cmc2_1 (No. 36)
Unique sites:
Ho 0.000 0.197 0.000
Pa 0.000 0.106 0.683
Pa 0.000 0.138 0.300
Co 0.000 0.483 0.457
N 0.000 0.039 0.069
N 0.000 0.281 0.677
N 0.000 0.337 0.351
N 0.000 0.371 0.996
N 0.000 0.481 0.777

Output
Calculated volume ... 12.6 Å³/atom
Formation energy without anion corrections ... -1128.5 meV/atom

# 3
DFT (GGA-PBE) results for crystalline CdInNiAg at its relaxed geometry.

Cell lengths 6.573, 6.573, 6.573 Å; angles 90.00, 90.00, 90.00 degrees
Space group F-43m (No. 216)
Unique sites:
Cd 0.000 0.000 0.000
In 0.000 0.000 0.500
Ni 0.250 0.250 0.250
Ag 0.250 0.250 0.750

Output
Calculated volume ... 17.7 Å³/atom
E_form ... 0.032 eV per atom

# 4
DFT (GGA-PBE) results for crystalline Ce2ErSb at its relaxed geometry.

Cell lengths 7.684, 7.684, 7.684 Å; angles 90.00, 90.00, 90.00 degrees
Space group Fm-3m (No. 225)
Unique sites:
Ce 0.250 0.250 0.250
Er 0.000 0.000 0.000
Sb 0.000 0.000 0.500

Output
Calculated volume ... 28.4 Å³/atom
Formation energy without anion corrections ... -226.2 meV/atom
Energy above the most stable polymorph in this dataset ... 333 meV/atom